No. 1
An optimized crystal structure of Te2RuSe. Source: Alexandria, functional PBE-GGA.

```
4
Lattice="-3.675 -0.983 -1.029 -3.154 -1.103 2.090 -2.133 8.215 0.673" Properties=species:S:1:pos:R:3 pbc="T T T"
Ru -4.387 2.935 0.846
Se -1.942 2.342 0.415
Te -0.269 -0.002 0.045
Te -6.844 3.919 1.295
```

Results
N(E_F) in states/eV/cell: 2.5
Energy in eV per cell: -19.1
V in A^3/atom: 24.298
Raw formation energy in meV per atom: -7
Crystal system: monoclinic

***

No. 2
An optimized crystal structure of Hf2Mn2Fe. Source: Alexandria, functional PBE-GGA.

```
10
Lattice="-4.084 0.041 -4.584 3.756 -3.490 -3.377 -1.759 -3.380 1.537" Properties=species:S:1:pos:R:3 pbc="T T T"
Mn 1.753 -3.056 -4.716
Mn -1.267 -2.127 -6.128
Mn -2.081 -0.393 -3.246
Mn 0.939 -1.322 -1.833
Hf 0.939 -4.064 -2.374
Hf -0.597 -4.515 -5.121
Hf -3.026 -2.764 -4.051
Hf -1.490 -2.314 -1.303
Fe 0.000 0.000 0.000
Fe -0.164 -1.724 -3.981
```

Results
N(E_F) in states/eV/cell: 11.3
Energy in eV per cell: -93.7
E_form in kJ/mol of formula units: -15
V in A^3/atom: 15.485
Crystal system: tetragonal

***

No. 3
An optimized crystal structure of HfCoCuNi2. Source: Alexandria, functional PBE-GGA.

```
5
Lattice="4.539 0.000 0.000 0.000 4.429 0.000 0.000 0.000 4.539" Properties=species:S:1:pos:R:3 pbc="T T T"
Ni 0.000 0.000 2.270
Ni 2.270 0.000 0.000
Hf 0.000 0.000 0.000
Cu 2.270 2.215 2.270
Co 0.000 2.215 0.000
```

Results
N(E_F) in states/eV/cell: 2.4
Energy in eV per cell: -26.0
E_form in kJ/mol of formula units: 646
V in A^3/atom: 18.251
Crystal system: tetragonal

***

No. 4
An optimized crystal structure of Tb6Pm3Pr2. Source: Alexandria, functional PBE-GGA.

```
11
Lattice="5.941 0.000 1.777 2.971 5.384 0.889 -1.322 0.000 11.716" Properties=species:S:1:pos:R:3 pbc="T T T"
Tb 3.463 3.591 10.127
Tb 3.461 0.000 10.131
Tb 0.492 1.793 9.238
Tb 1.159 0.000 3.362
Tb 4.128 1.793 4.255
Tb 7.098 3.591 5.144
Pm 0.000 0.000 0.000
Pm 2.971 1.769 0.889
Pm 5.941 3.615 1.777
Pr 2.310 3.590 6.747
Pr 5.281 1.794 7.635
```

Results
N(E_F) in states/eV/cell: 16.7
Energy in eV per cell: -49.6
E_form in kJ/mol of formula units: 191
V in A^3/atom: 35.221
Crystal system: monoclinic
Polymorph energy (0 for the lowest one) in eV/atom: 0.000

***

No. 5
An optimized crystal structure of Sm3P2. Source: Alexandria, functional PBE-GGA.

```
10
Lattice="6.970 0.000 0.000 3.485 6.036 0.000 3.485 2.012 6.646" Properties=species:S:1:pos:R:3 pbc="T T T"
P 10.454 6.036 3.230
P 6.970 4.024 6.553
P 3.485 2.012 3.417
P 6.970 4.024 0.093
Sm 5.759 6.036 4.985
Sm 9.317 4.067 4.985
Sm 5.833 1.969 4.985
Sm 4.622 3.981 1.662
Sm 8.107 6.078 1.662
Sm 8.180 2.012 1.662
```

Results
N(E_F) in states/eV/cell: 9.3
Energy in eV per cell: -61.5
E_form in kJ/mol of formula units: -558
V in A^3/atom: 27.958
Crystal system: trigonal

***

No. 6
An optimized crystal structure of InAgW2. Source: Alexandria, functional PBE-GGA.

```
4
Lattice="4.738 0.000 0.000 0.000 2.786 0.026 0.000 1.397 5.329" Properties=species:S:1:pos:R:3 pbc="T T T"
Ag 2.369 1.046 1.339
W 0.000 1.444 5.323
W 0.000 2.045 2.684
In 2.369 3.138 4.017
```

Results
N(E_F) in states/eV/cell: 2.1
Energy in eV per cell: -29.0
E_form in kJ/mol of formula units: 244
V in A^3/atom: 17.547
Crystal system: monoclinic

***

No. 7
An optimized crystal structure of Ac3TlNiBr. Source: Alexandria, functional PBE-GGA.

```
12
Lattice="-2.106 3.589 0.973 -5.333 -4.469 4.940 9.931 4.132 6.256" Properties=species:S:1:pos:R:3 pbc="T T T"
Ac 0.600 -0.225 6.820
Ac -5.359 -0.994 6.142
Ac -2.713 1.163 3.917
Ac 1.892 3.477 5.349
Ac 5.204 2.089 8.252
Ac 7.851 4.246 6.028
Tl 1.731 2.476 8.691
Tl 0.761 0.776 3.478
Ni -3.200 -1.790 4.368
Ni 5.691 5.042 7.802
Br 5.016 2.912 4.809
Br -2.525 0.340 7.360
```

Results
N(E_F) in states/eV/cell: 9.8
Energy in eV per cell: -50.6
V in A^3/atom: 34.952
Raw formation energy in meV per atom: -526
Crystal system: monoclinic

***

No. 8
An optimized crystal structure of Mg2ScPd2. Source: Alexandria, functional PBE-GGA.

```
10
Lattice="7.073 0.000 0.000 0.000 7.073 0.000 0.000 0.000 3.745" Properties=species:S:1:pos:R:3 pbc="T T T"
Sc 0.000 0.000 0.000
Sc 3.537 3.537 0.000
Mg 1.101 4.638 1.873
Mg 4.638 5.972 1.873
Mg 5.972 2.435 1.873
Mg 2.435 1.101 1.873
Pd 2.538 6.075 0.000
Pd 6.075 4.535 0.000
Pd 4.535 0.998 0.000
Pd 0.998 2.538 0.000
```

Results
N(E_F) in states/eV/cell: 4.5
Energy in eV per cell: -45.9
E_form in kJ/mol of formula units: -293
V in A^3/atom: 18.738
Crystal system: tetragonal
Polymorph energy (0 for the lowest one) in eV/atom: 0.027